# 1
{
  "formula": "MnSi2Ru3",
  "functional": "GGA-PBE",
  "state": "relaxed",
  "dos_at_fermi_per_ev_fu": 3.2,
  "magmom_total_mub_per_fu": 3.3,
  "spacegroup": "P4/mmm, No. 123",
  "total_energy_ry_per_atom": -0.6196,
  "e_form_raw_ev_per_fu": -2.74,
  "lattice": [[2.952, 0.000, 0.000], [0.000, 2.952, 0.000], [0.000, 0.000, 8.934]],
  "species": ["Mn", "Si", "Si", "Ru", "Ru", "Ru"],
  "frac_coords": [[0.000, 0.000, 0.000], [0.000, 0.000, 0.333], [0.000, 0.000, 0.667], [0.500, 0.500, 0.179], [0.500, 0.500, 0.500], [0.500, 0.500, 0.821]]
}

=====

# 2
{
  "formula": "Mn2SiRu",
  "functional": "GGA-PBE",
  "state": "relaxed",
  "dos_at_fermi_per_ev_fu": 3.3,
  "magmom_total_mub_per_fu": 5.2,
  "spacegroup": "P4/mmm, No. 123",
  "total_energy_ry_per_atom": -0.6229,
  "e_form_raw_ev_per_fu": -0.86,
  "lattice": [[3.628, 0.000, 0.000], [0.000, 3.628, 0.000], [0.000, 0.000, 3.833]],
  "species": ["Mn", "Mn", "Si", "Ru"],
  "frac_coords": [[0.000, 0.500, 0.000], [0.500, 0.000, 0.000], [0.000, 0.000, 0.500], [0.500, 0.500, 0.500]]
}

=====

# 3
{
  "formula": "MnSiRu2",
  "functional": "GGA-PBE",
  "state": "relaxed",
  "dos_at_fermi_per_ev_fu": 3.1,
  "magmom_total_mub_per_fu": 2.9,
  "spacegroup": "C2/m, No. 12",
  "total_energy_ry_per_atom": -0.6224,
  "e_form_raw_ev_per_fu": -0.73,
  "lattice": [[4.205, -1.394, 0.000], [4.205, 1.394, 0.000], [-1.221, 0.000, 4.554]],
  "species": ["Mn", "Si", "Ru", "Ru"],
  "frac_coords": [[0.000, 0.000, 0.000], [0.500, 0.500, 0.500], [0.237, 0.237, 0.747], [0.763, 0.763, 0.253]]
}